Here is AsBrO2F after structural relaxation from Alexandria via LeMat-Bulk. Energies are from GGA-PBE.

Its energy relative to the elements, uncorrected is 0.60 eV per atom.

The space group is P4/mmm (No. 123) and the conventional cell measures 4.078, 4.078 and 4.449 Å, with angles of 90.00, 90.00 and 90.00 degrees. The asymmetric unit holds As at (0.000, 0.000, 0.000), Br at (0.500, 0.500, 0.500), O at (0.000, 0.500, 0.500) and F at (0.500, 0.500, 0.000).

=====

Here is AsBrO2F after structural relaxation from Alexandria via LeMat-Bulk. Energies are from GGA-PBE.

Its energy relative to the elements, uncorrected is -0.28 eV per atom.

The space group is P4/mmm (No. 123) and the conventional cell measures 3.965, 3.965 and 4.218 Å, with angles of 90.00, 90.00 and 90.00 degrees. The asymmetric unit holds As at (0.000, 0.000, 0.000), Br at (0.500, 0.500, 0.500), O at (0.000, 0.500, 0.000) and F at (0.000, 0.000, 0.500).

=====

Here is As2PBrF after structural relaxation from Alexandria via LeMat-Bulk. Energies are from GGA-PBE.

Its distance to the lowest polymorph of the same formula is 0 meV/atom. Its energy relative to the elements, uncorrected is 0.42 eV per atom.

The space group is P4/mmm (No. 123) and the conventional cell measures 4.767, 4.767 and 5.036 Å, with angles of 90.00, 90.00 and 90.00 degrees. The asymmetric unit holds As at (0.000, 0.500, 0.000), P at (0.000, 0.000, 0.000), Br at (0.000, 0.000, 0.500) and F at (0.500, 0.500, 0.500).

=====

Here is AsPBr2F after structural relaxation from Alexandria via LeMat-Bulk. Energies are from GGA-PBE.

Its distance to the lowest polymorph of the same formula is 246 meV/atom. Its energy relative to the elements, uncorrected is 0.50 eV per atom.

The space group is P4/mmm (No. 123) and the conventional cell measures 5.490, 5.490 and 3.852 Å, with angles of 90.00, 90.00 and 90.00 degrees. The asymmetric unit holds As at (0.000, 0.000, 0.000), P at (0.500, 0.500, 0.000), Br at (0.000, 0.500, 0.500) and F at (0.000, 0.000, 0.500).

=====

Here is AsPBr2F after structural relaxation from Alexandria via LeMat-Bulk. Energies are from GGA-PBE.

Its distance to the lowest polymorph of the same formula is 0 meV/atom. Its energy relative to the elements, uncorrected is 0.25 eV per atom.

The space group is P4/mmm (No. 123) and the conventional cell measures 4.951, 4.951 and 4.972 Å, with angles of 90.00, 90.00 and 90.00 degrees. The asymmetric unit holds As at (0.000, 0.000, 0.000), P at (0.000, 0.000, 0.500), Br at (0.000, 0.500, 0.500) and F at (0.500, 0.500, 0.000).

=====

Here is As2PBrF after structural relaxation from Alexandria via LeMat-Bulk. Energies are from GGA-PBE.

Its distance to the lowest polymorph of the same formula is 197 meV/atom. Its energy relative to the elements, uncorrected is 0.62 eV per atom.

The space group is P4/mmm (No. 123) and the conventional cell measures 4.297, 4.297 and 5.670 Å, with angles of 90.00, 90.00 and 90.00 degrees. The asymmetric unit holds As at (0.000, 0.500, 0.000), P at (0.000, 0.000, 0.500), Br at (0.500, 0.500, 0.500) and F at (0.500, 0.500, 0.000).

=====

Here is AsPbBr2F after structural relaxation from Alexandria via LeMat-Bulk. Energies are from GGA-PBE.

Its distance to the lowest polymorph of the same formula is 0 meV/atom. Its energy relative to the elements, uncorrected is -0.34 eV per atom.

The space group is P4/mmm (No. 123) and the conventional cell measures 5.689, 5.689 and 3.960 Å, with angles of 90.00, 90.00 and 90.00 degrees. The asymmetric unit holds As at (0.000, 0.000, 0.000), Pb at (0.500, 0.500, 0.000), Br at (0.000, 0.500, 0.500) and F at (0.000, 0.000, 0.500).

=====

Here is AsPbBr2F after structural relaxation from Alexandria via LeMat-Bulk. Energies are from GGA-PBE.

Its distance to the lowest polymorph of the same formula is 485 meV/atom. Its energy relative to the elements, uncorrected is 0.14 eV per atom.

The space group is P4/mmm (No. 123) and the conventional cell measures 5.676, 5.676 and 5.748 Å, with angles of 90.00, 90.00 and 90.00 degrees. The asymmetric unit holds As at (0.000, 0.000, 0.000), Pb at (0.000, 0.000, 0.500), Br at (0.000, 0.500, 0.500) and F at (0.500, 0.500, 0.000).

=====

Uncorrected energy across the listed records, respectively: -3.025, -3.899, -3.227, -2.558, -2.804, -3.030, -3.060, -2.575 eV per atom.
M_tot across the listed records, respectively: 0.00, 2.07, 0.00, 0.00, 0.89, 0.00, 0.02, 2.20 μB per formula unit.